! Nd4Sm3Mg (PBE-GGA, optimized geometry); values from VASP
! energy relative to the elements	-0.01	eV/atom
! ΔE to the lowest computed polymorph	0	meV per atom
! total energy	-34.9	eV for the cell shown
&SYSTEM
  ibrav = 0, nat = 8, ntyp = 3
/
ATOMIC_SPECIES
Nd 144.24 Nd.upf
Sm 150.36 Sm.upf
Mg 24.30 Mg.upf
ATOMIC_POSITIONS crystal
Nd 0.000 0.000 0.889
Nd 0.000 0.000 0.370
Nd 0.000 0.000 0.630
Nd 0.000 0.000 0.111
Sm 0.500 0.500 0.500
Sm 0.500 0.500 0.239
Sm 0.500 0.500 0.761
Mg 0.500 0.500 0.000
CELL_PARAMETERS angstrom
-3.174 0.898 1.623
-1.567 -3.020 -1.393
5.340 -10.190 16.082

---

! Nd12Sm7Mg (PBE-GGA, optimized geometry); values from VASP
! energy relative to the elements	0.62	eV/atom
! ΔE to the lowest computed polymorph	433	meV per atom
! total energy	-79.4	eV for the cell shown
&SYSTEM
  ibrav = 0, nat = 20, ntyp = 3
/
ATOMIC_SPECIES
Nd 144.24 Nd.upf
Sm 150.36 Sm.upf
Mg 24.30 Mg.upf
ATOMIC_POSITIONS crystal
Nd 0.247 0.000 0.754
Nd 0.754 0.247 0.000
Nd 0.000 0.754 0.247
Nd 0.507 0.754 0.753
Nd 0.753 0.507 0.754
Nd 0.493 0.246 0.247
Nd 0.000 0.246 0.753
Nd 0.753 0.000 0.246
Nd 0.246 0.247 0.493
Nd 0.246 0.753 0.000
Nd 0.754 0.753 0.507
Nd 0.247 0.493 0.246
Sm 0.500 0.500 0.500
Sm 0.000 0.000 0.500
Sm 0.500 0.000 0.000
Sm 0.000 0.500 0.500
Sm 0.000 0.500 0.000
Sm 0.500 0.000 0.500
Sm 0.500 0.500 0.000
Mg 0.000 0.000 0.000
CELL_PARAMETERS angstrom
9.491 0.000 -3.356
-4.746 8.219 -3.356
0.000 0.000 10.067

---

! Nd5Sm12Mg3 (PBE-GGA, optimized geometry); values from VASP
! energy relative to the elements	0.87	eV/atom
! total energy	-271.6	eV for the cell shown
&SYSTEM
  ibrav = 0, nat = 80, ntyp = 3
/
ATOMIC_SPECIES
Sm 150.36 Sm.upf
Mg 24.30 Mg.upf
Nd 144.24 Nd.upf
ATOMIC_POSITIONS crystal
Sm 0.413 0.145 0.576
Sm 0.413 0.268 0.338
Sm 0.087 0.924 0.355
Sm 0.070 0.645 0.732
Sm 0.076 0.162 0.430
Sm 0.570 0.232 0.145
Sm 0.645 0.070 0.232
Sm 0.768 0.338 0.913
Sm 0.430 0.768 0.855
Sm 0.268 0.413 0.838
Sm 0.070 0.424 0.838
Sm 0.145 0.732 0.570
Sm 0.855 0.268 0.430
Sm 0.576 0.645 0.413
Sm 0.930 0.355 0.268
Sm 0.355 0.424 0.087
Sm 0.162 0.087 0.732
Sm 0.930 0.576 0.162
Sm 0.162 0.076 0.930
Sm 0.838 0.924 0.070
Sm 0.838 0.913 0.268
Sm 0.732 0.145 0.070
Sm 0.913 0.076 0.645
Sm 0.587 0.855 0.424
Sm 0.338 0.768 0.413
Sm 0.424 0.355 0.587
Sm 0.645 0.576 0.913
Sm 0.913 0.838 0.768
Sm 0.576 0.930 0.662
Sm 0.145 0.413 0.076
Sm 0.662 0.232 0.587
Sm 0.087 0.162 0.232
Sm 0.232 0.662 0.087
Sm 0.355 0.930 0.768
Sm 0.587 0.732 0.662
Sm 0.268 0.855 0.930
Sm 0.732 0.587 0.162
Sm 0.424 0.070 0.338
Sm 0.662 0.430 0.576
Sm 0.924 0.087 0.855
Sm 0.338 0.570 0.424
Sm 0.924 0.838 0.570
Sm 0.076 0.913 0.145
Sm 0.570 0.338 0.924
Sm 0.855 0.587 0.924
Sm 0.768 0.430 0.355
Sm 0.430 0.662 0.076
Sm 0.232 0.570 0.645
Mg 0.125 0.250 0.875
Mg 0.625 0.375 0.750
Mg 0.875 0.750 0.125
Mg 0.875 0.125 0.250
Mg 0.750 0.375 0.125
Mg 0.250 0.125 0.375
Mg 0.250 0.625 0.875
Mg 0.750 0.875 0.625
Mg 0.125 0.875 0.750
Mg 0.375 0.750 0.625
Mg 0.625 0.250 0.375
Mg 0.375 0.625 0.250
Nd 0.000 0.500 0.000
Nd 0.500 0.000 0.500
Nd 0.625 0.875 0.250
Nd 0.000 0.500 0.500
Nd 0.250 0.875 0.125
Nd 0.500 0.000 0.000
Nd 0.875 0.625 0.750
Nd 0.000 0.000 0.000
Nd 0.750 0.625 0.375
Nd 0.750 0.125 0.875
Nd 0.875 0.250 0.625
Nd 0.500 0.500 0.000
Nd 0.125 0.375 0.250
Nd 0.625 0.750 0.875
Nd 0.500 0.500 0.500
Nd 0.375 0.125 0.750
Nd 0.000 0.000 0.500
Nd 0.375 0.250 0.125
Nd 0.125 0.750 0.375
Nd 0.250 0.375 0.625
CELL_PARAMETERS angstrom
-7.345 -3.024 13.679
15.481 -2.827 1.591
-2.214 15.160 -3.935

---

! Nd2SmMg5 (PBE-GGA, optimized geometry); values from VASP
! energy relative to the elements	-0.09	eV/atom
! total energy	-23.0	eV for the cell shown
&SYSTEM
  ibrav = 0, nat = 8, ntyp = 3
/
ATOMIC_SPECIES
Sm 150.36 Sm.upf
Nd 144.24 Nd.upf
Mg 24.30 Mg.upf
ATOMIC_POSITIONS crystal
Sm 0.000 0.000 0.000
Nd 0.260 0.260 0.521
Nd 0.740 0.740 0.479
Mg 0.383 0.883 0.767
Mg 0.117 0.617 0.233
Mg 0.883 0.383 0.767
Mg 0.500 0.500 0.000
Mg 0.617 0.117 0.233
CELL_PARAMETERS angstrom
5.286 0.000 0.000
0.000 5.286 0.000
-2.643 -2.643 7.863

---

! Nd5Sm2Mg5 (PBE-GGA, optimized geometry); values from VASP
! energy relative to the elements	-0.04	eV/atom
! total energy	-41.7	eV for the cell shown
&SYSTEM
  ibrav = 0, nat = 12, ntyp = 3
/
ATOMIC_SPECIES
Mg 24.30 Mg.upf
Nd 144.24 Nd.upf
Sm 150.36 Sm.upf
ATOMIC_POSITIONS crystal
Mg 0.173 0.154 0.500
Mg 0.827 0.846 0.500
Mg 0.000 0.000 0.000
Mg 0.239 0.807 0.714
Mg 0.761 0.193 0.286
Nd 0.500 0.500 0.500
Nd 0.329 0.310 0.032
Nd 0.566 0.115 0.753
Nd 0.434 0.885 0.247
Nd 0.671 0.690 0.968
Sm 0.885 0.468 0.761
Sm 0.115 0.532 0.239
CELL_PARAMETERS angstrom
-1.865 -3.127 0.853
6.420 -5.282 2.868
0.521 0.712 11.955

---

! Nd2Sm8Mg (PBE-GGA, optimized geometry); values from VASP
! energy relative to the elements	0.38	eV/atom
! ΔE to the lowest computed polymorph	271	meV per atom
! total energy	-44.7	eV for the cell shown
&SYSTEM
  ibrav = 0, nat = 11, ntyp = 3
/
ATOMIC_SPECIES
Nd 144.24 Nd.upf
Sm 150.36 Sm.upf
Mg 24.30 Mg.upf
ATOMIC_POSITIONS crystal
Nd 0.492 0.861 0.861
Nd 0.508 0.139 0.139
Sm 0.794 0.656 0.139
Sm 0.794 0.139 0.656
Sm 0.096 0.730 0.730
Sm 0.206 0.344 0.861
Sm 0.904 0.270 0.270
Sm 0.206 0.861 0.344
Sm 0.286 0.423 0.423
Sm 0.714 0.577 0.577
Mg 0.000 0.000 0.000
CELL_PARAMETERS angstrom
6.007 0.467 0.388
0.878 8.193 -0.529
0.878 0.978 8.152

---

! Nd4Sm8Mg (PBE-GGA, optimized geometry); values from VASP
! energy relative to the elements	0.52	eV/atom
! total energy	-51.6	eV for the cell shown
&SYSTEM
  ibrav = 0, nat = 13, ntyp = 3
/
ATOMIC_SPECIES
Sm 150.36 Sm.upf
Mg 24.30 Mg.upf
Nd 144.24 Nd.upf
ATOMIC_POSITIONS crystal
Sm 0.004 0.758 0.763
Sm 0.996 0.754 0.237
Sm 0.483 0.242 0.237
Sm 0.996 0.242 0.237
Sm 0.004 0.246 0.763
Sm 0.516 0.758 0.274
Sm 0.484 0.242 0.726
Sm 0.517 0.758 0.763
Mg 0.000 0.500 0.500
Nd 0.500 0.000 0.000
Nd 0.500 0.500 0.000
Nd 0.000 0.500 0.000
Nd 0.000 0.000 0.000
CELL_PARAMETERS angstrom
0.759 -6.447 -9.092
4.842 -3.208 9.543
-5.909 3.226 4.083

---

! Nd3SmMg4 (PBE-GGA, optimized geometry); values from VASP
! energy relative to the elements	-0.11	eV/atom
! ΔE to the lowest computed polymorph	0	meV per atom
! total energy	-26.3	eV for the cell shown
&SYSTEM
  ibrav = 0, nat = 8, ntyp = 3
/
ATOMIC_SPECIES
Mg 24.30 Mg.upf
Nd 144.24 Nd.upf
Sm 150.36 Sm.upf
ATOMIC_POSITIONS crystal
Mg 0.000 0.000 0.000
Mg 0.000 0.500 0.249
Mg 0.000 0.500 0.751
Mg 0.000 0.000 0.500
Nd 0.500 0.000 0.751
Nd 0.500 0.000 0.249
Nd 0.500 0.500 0.500
Sm 0.500 0.500 0.000
CELL_PARAMETERS angstrom
3.887 0.000 0.000
0.000 5.478 0.000
0.000 0.000 10.954

---

! Nd3Sm7Mg (PBE-GGA, optimized geometry); values from VASP
! energy relative to the elements	0.22	eV/atom
! total energy	-46.5	eV for the cell shown
&SYSTEM
  ibrav = 0, nat = 11, ntyp = 3
/
ATOMIC_SPECIES
Sm 150.36 Sm.upf
Nd 144.24 Nd.upf
Mg 24.30 Mg.upf
ATOMIC_POSITIONS crystal
Sm 0.307 0.599 0.016
Sm 0.000 0.500 0.500
Sm 0.693 0.984 0.401
Sm 0.307 0.016 0.599
Sm 0.782 0.783 0.783
Sm 0.693 0.401 0.984
Sm 0.218 0.217 0.217
Nd 0.000 0.791 0.209
Nd 0.000 0.209 0.791
Nd 0.500 0.000 0.000
Mg 0.500 0.500 0.500
CELL_PARAMETERS angstrom
5.940 -0.168 -0.215
-2.704 8.024 1.033
-2.704 -0.943 8.035

---

! NdSm4Mg5 (PBE-GGA, optimized geometry); values from VASP
! energy relative to the elements	-0.10	eV/atom
! total energy	-32.6	eV for the cell shown
&SYSTEM
  ibrav = 0, nat = 10, ntyp = 3
/
ATOMIC_SPECIES
Mg 24.30 Mg.upf
Nd 144.24 Nd.upf
Sm 150.36 Sm.upf
ATOMIC_POSITIONS crystal
Mg 0.500 0.500 0.301
Mg 0.500 0.500 0.103
Mg 0.500 0.500 0.699
Mg 0.500 0.500 0.500
Mg 0.500 0.500 0.897
Nd 0.000 0.000 0.000
Sm 0.000 0.000 0.798
Sm 0.000 0.000 0.401
Sm 0.000 0.000 0.202
Sm 0.000 0.000 0.599
CELL_PARAMETERS angstrom
3.851 0.000 0.000
0.000 3.851 0.000
0.000 0.000 19.338

---

! Nd12Sm3Mg (PBE-GGA, optimized geometry); values from VASP
! energy relative to the elements	0.01	eV/atom
! total energy	-72.8	eV for the cell shown
&SYSTEM
  ibrav = 0, nat = 16, ntyp = 3
/
ATOMIC_SPECIES
Nd 144.24 Nd.upf
Mg 24.30 Mg.upf
Sm 150.36 Sm.upf
ATOMIC_POSITIONS crystal
Nd 0.500 0.500 0.754
Nd 0.500 0.000 0.878
Nd 0.500 0.000 0.374
Nd 0.000 0.500 0.626
Nd 0.500 0.500 0.000
Nd 0.500 0.000 0.626
Nd 0.000 0.500 0.878
Nd 0.500 0.500 0.246
Nd 0.500 0.000 0.122
Nd 0.000 0.500 0.122
Nd 0.500 0.500 0.500
Nd 0.000 0.500 0.374
Mg 0.000 0.000 0.000
Sm 0.000 0.000 0.500
Sm 0.000 0.000 0.247
Sm 0.000 0.000 0.753
CELL_PARAMETERS angstrom
5.146 0.000 0.000
0.000 5.146 0.000
0.000 0.000 20.684

---

! Nd5SmMg6 (PBE-GGA, optimized geometry); values from VASP
! energy relative to the elements	-0.11	eV/atom
! total energy	-39.5	eV for the cell shown
&SYSTEM
  ibrav = 0, nat = 12, ntyp = 3
/
ATOMIC_SPECIES
Nd 144.24 Nd.upf
Mg 24.30 Mg.upf
Sm 150.36 Sm.upf
ATOMIC_POSITIONS crystal
Nd 0.333 0.500 0.335
Nd 0.666 0.000 0.668
Nd 0.334 0.000 0.332
Nd 0.000 0.500 0.000
Nd 0.667 0.500 0.665
Mg 0.166 0.752 0.668
Mg 0.500 0.249 0.000
Mg 0.834 0.752 0.332
Mg 0.500 0.751 0.000
Mg 0.166 0.248 0.668
Mg 0.834 0.248 0.332
Sm 0.000 0.000 0.000
CELL_PARAMETERS angstrom
5.205 -0.031 1.735
0.041 7.776 0.014
0.001 -0.016 8.674

---

Q: The highest total energy belongs to which entry?
A: Nd2SmMg5

---

Q: Which value of energy relative to the elements does entry 3 give?
A: 0.87 eV/atom